No. 1
Here is an optimized crystal structure of TiTc from the Alexandria database. Energies are from PBE.

ρ ... 7.2 g cm⁻³
E ... -8.6328 eV/atom
SG ... Fm-3m
Energy of formation ... 0.50 eV/atom

a = 3.616 Å, b = 3.616 Å, c = 3.616 Å
α = 60.00°, β = 60.00°, γ = 60.00°
Atoms (fractional coordinates):
1 Ti 0.000 0.000 0.000
2 Tc 0.500 0.500 0.500

No. 2
Here is an optimized crystal structure of TiTc from the Alexandria database. Energies are from PBE.

ρ ... 8.0 g cm⁻³
E ... -9.4730 eV/atom
SG ... Cmmm
Energy of formation ... -0.34 eV/atom

a = 2.805 Å, b = 2.805 Å, c = 4.167 Å
α = 90.00°, β = 90.00°, γ = 112.63°
Atoms (fractional coordinates):
1 Ti 0.000 0.000 0.000
2 Tc 0.500 0.500 0.500

No. 3
Here is an optimized crystal structure of Ti5Tc6 from the Alexandria database. Energies are from PBE.

ρ ... 8.0 g cm⁻³
E ... -9.3825 eV/atom
SG ... C2/m
Energy of formation ... -0.14 eV/atom

a = 7.454 Å, b = 7.454 Å, c = 4.372 Å
α = 106.85°, β = 106.85°, γ = 48.41°
Atoms (fractional coordinates):
1 Ti 0.000 0.000 0.000
2 Ti 0.166 0.166 0.666
3 Ti 0.331 0.331 0.330
4 Ti 0.669 0.669 0.670
5 Ti 0.834 0.834 0.334
6 Tc 0.091 0.584 0.837
7 Tc 0.263 0.737 0.500
8 Tc 0.416 0.909 0.163
9 Tc 0.584 0.091 0.837
10 Tc 0.737 0.263 0.500
11 Tc 0.909 0.416 0.163

No. 4
Here is an optimized crystal structure of TiTc from the Alexandria database. Energies are from PBE.

ρ ... 4.7 g cm⁻³
E ... -7.7226 eV/atom
SG ... I-43m
Energy of formation ... 1.41 eV/atom

a = 6.468 Å, b = 6.468 Å, c = 6.468 Å
α = 109.47°, β = 109.47°, γ = 109.47°
Atoms (fractional coordinates):
1 Ti 0.000 0.000 0.576
2 Ti 0.000 0.576 0.000
3 Ti 0.424 0.424 0.424
4 Ti 0.576 0.000 0.000
5 Tc 0.000 0.000 0.254
6 Tc 0.000 0.254 0.000
7 Tc 0.254 0.000 0.000
8 Tc 0.746 0.746 0.746

No. 5
Here is an optimized crystal structure of Ti2Tc3 from the Alexandria database. Energies are from PBE.

ρ ... 8.7 g cm⁻³
E ... -9.7677 eV/atom
SG ... P4/mmm
Energy of formation ... -0.39 eV/atom

a = 3.087 Å, b = 3.087 Å, c = 15.626 Å
α = 90.00°, β = 90.00°, γ = 90.00°
Atoms (fractional coordinates):
1 Ti 0.000 0.000 0.100
2 Ti 0.000 0.000 0.298
3 Ti 0.000 0.000 0.702
4 Ti 0.000 0.000 0.900
5 Tc 0.000 0.000 0.500
6 Tc 0.500 0.500 0.000
7 Tc 0.500 0.500 0.201
8 Tc 0.500 0.500 0.400
9 Tc 0.500 0.500 0.600
10 Tc 0.500 0.500 0.799

No. 6
Here is an optimized crystal structure of Ti3TlTc2 from the Alexandria database. Energies are from PBE.

ρ ... 9.1 g cm⁻³
E ... -8.1406 eV/atom
SG ... P4/mmm
Energy of formation ... -0.34 eV/atom

a = 3.199 Å, b = 3.199 Å, c = 9.745 Å
α = 90.00°, β = 90.00°, γ = 90.00°
Atoms (fractional coordinates):
1 Ti 0.000 0.000 0.000
2 Ti 0.000 0.000 0.299
3 Ti 0.000 0.000 0.701
4 Tl 0.500 0.500 0.500
5 Tc 0.500 0.500 0.160
6 Tc 0.500 0.500 0.840